Below is a geometry-optimized RbLi structure, with properties calculated at the PBE level.

Cell and atoms, written as CIF:
```
data_RbLi
_chemical_formula_sum 'Rb6 Li6'
_cell_length_a 15.0921
_cell_length_b 15.0921
_cell_length_c 4.1026
_cell_angle_alpha 90.00
_cell_angle_beta 90.00
_cell_angle_gamma 120.00
_space_group_name_H-M_alt 'P 63/m'
_space_group_IT_number 176
_space_group_name_Hall '-P 6c'
loop_
_atom_site_label
_atom_site_type_symbol
_atom_site_fract_x
_atom_site_fract_y
_atom_site_fract_z
_atom_site_occupancy
Rb1 Rb 0.1335 0.3653 0.2500 1
Li1 Li 0.0650 0.5776 0.2500 1
```

For the formation energy, the calculation gives 0.293 eV/atom.

Below is a geometry-optimized Nd2ScGa4Au3 structure, with properties calculated at the PBE level.

Cell and atoms, written as CIF:
```
data_Nd2ScGa4Au3
_chemical_formula_sum 'Nd2 Sc1 Ga4 Au3'
_cell_length_a 4.2896
_cell_length_b 4.2896
_cell_length_c 11.5880
_cell_angle_alpha 90.00
_cell_angle_beta 90.00
_cell_angle_gamma 90.00
_space_group_name_H-M_alt 'P -4 m 2'
_space_group_IT_number 115
_space_group_name_Hall 'P -4 -2'
loop_
_atom_site_label
_atom_site_type_symbol
_atom_site_fract_x
_atom_site_fract_y
_atom_site_fract_z
_atom_site_occupancy
Nd1 Nd 0.0000 0.5000 0.2433 1
Sc1 Sc 0.0000 0.0000 0.5000 1
Ga1 Ga 0.0000 0.0000 0.0000 1
Ga2 Ga 0.0000 0.5000 0.6503 1
Ga3 Ga 0.5000 0.5000 0.0000 1
Au1 Au 0.0000 0.5000 0.8689 1
Au2 Au 0.5000 0.5000 0.5000 1
```

For the formation energy, the calculation gives -0.650 eV/atom.

Below is a geometry-optimized ErCdS2 structure, with properties calculated at the PBE level.

Cell and atoms, written as CIF:
```
data_ErCdS2
_chemical_formula_sum 'Er3 Cd3 S6'
_cell_length_a 3.9347
_cell_length_b 3.9347
_cell_length_c 24.4652
_cell_angle_alpha 90.00
_cell_angle_beta 90.00
_cell_angle_gamma 120.00
_space_group_name_H-M_alt 'R -3 m'
_space_group_IT_number 166
_space_group_name_Hall '-R 3 2"'
loop_
_atom_site_label
_atom_site_type_symbol
_atom_site_fract_x
_atom_site_fract_y
_atom_site_fract_z
_atom_site_occupancy
Er1 Er 0.0000 0.0000 0.0000 1
Cd1 Cd 0.0000 0.0000 0.5000 1
S1 S 0.0000 0.0000 0.3936 1
```

The raw formation energy comes out at -1.226 eV/atom.

Below is a geometry-optimized FeAgPt2 structure, with properties calculated at the PBE level.

Cell and atoms, written as CIF:
```
data_FeAgPt2
_chemical_formula_sum 'Fe1 Ag1 Pt2'
_cell_length_a 2.7739
_cell_length_b 2.7739
_cell_length_c 7.9786
_cell_angle_alpha 90.00
_cell_angle_beta 90.00
_cell_angle_gamma 90.00
_space_group_name_H-M_alt 'P 4 m m'
_space_group_IT_number 99
_space_group_name_Hall 'P 4 -2'
loop_
_atom_site_label
_atom_site_type_symbol
_atom_site_fract_x
_atom_site_fract_y
_atom_site_fract_z
_atom_site_occupancy
Fe1 Fe 0.0000 0.0000 0.0000 1
Ag1 Ag 0.5000 0.5000 0.7492 1
Pt1 Pt 0.0000 0.0000 0.4822 1
Pt2 Pt 0.5000 0.5000 0.2213 1
```

For the formation energy, the calculation gives 0.002 eV/atom.

Below is a geometry-optimized BaPr2Ge structure, with properties calculated at the PBE level.

Cell and atoms, written as CIF:
```
data_BaPr2Ge
_chemical_formula_sum 'Ba3 Pr6 Ge3'
_cell_length_a 4.3078
_cell_length_b 4.3078
_cell_length_c 30.8651
_cell_angle_alpha 90.00
_cell_angle_beta 90.00
_cell_angle_gamma 120.00
_space_group_name_H-M_alt 'R -3 m'
_space_group_IT_number 166
_space_group_name_Hall '-R 3 2"'
loop_
_atom_site_label
_atom_site_type_symbol
_atom_site_fract_x
_atom_site_fract_y
_atom_site_fract_z
_atom_site_occupancy
Ba1 Ba 0.0000 0.0000 0.0000 1
Pr1 Pr 0.0000 0.0000 0.2194 1
Ge1 Ge 0.0000 0.0000 0.5000 1
```

For the formation energy, the calculation gives -0.271 eV/atom.

Below is a geometry-optimized K2BrO2 structure, with properties calculated at the PBE level.

Cell and atoms, written as CIF:
```
data_K2BrO2
_chemical_formula_sum 'K4 Br2 O4'
_cell_length_a 8.3836
_cell_length_b 8.3836
_cell_length_c 4.2286
_cell_angle_alpha 90.00
_cell_angle_beta 90.00
_cell_angle_gamma 90.00
_space_group_name_H-M_alt 'P 4/m b m'
_space_group_IT_number 127
_space_group_name_Hall '-P 4 2ab'
loop_
_atom_site_label
_atom_site_type_symbol
_atom_site_fract_x
_atom_site_fract_y
_atom_site_fract_z
_atom_site_occupancy
K1 K 0.1524 0.3476 0.0000 1
Br1 Br 0.0000 0.0000 0.0000 1
O1 O 0.0577 0.5577 0.5000 1
```

The raw formation energy comes out at -1.099 eV/atom.

Below is a geometry-optimized NbZnPt structure, with properties calculated at the PBE level.

Cell and atoms, written as CIF:
```
data_NbZnPt
_chemical_formula_sum 'Nb2 Zn2 Pt2'
_cell_length_a 3.8797
_cell_length_b 3.8797
_cell_length_c 6.6879
_cell_angle_alpha 90.00
_cell_angle_beta 90.00
_cell_angle_gamma 90.00
_space_group_name_H-M_alt 'P 4/n m m'
_space_group_IT_number 129
loop_
_space_group_symop_operation_xyz
'x,y,z'
'-x,-y,-z'
'-y+1/2,x,z'
'y+1/2,-x,-z'
'-x+1/2,-y+1/2,z'
'x+1/2,y+1/2,-z'
'y,-x+1/2,z'
'-y,x+1/2,-z'
'x+1/2,-y,-z'
'-x+1/2,y,z'
'-y,-x,-z'
'y,x,z'
'-x,y+1/2,-z'
'x,-y+1/2,z'
'y+1/2,x+1/2,-z'
'-y+1/2,-x+1/2,z'
loop_
_atom_site_label
_atom_site_type_symbol
_atom_site_fract_x
_atom_site_fract_y
_atom_site_fract_z
_atom_site_occupancy
Nb1 Nb 0.2500 0.2500 0.1581 1
Zn1 Zn 0.2500 0.7500 0.5000 1
Pt1 Pt 0.2500 0.2500 0.7795 1
```

For the formation energy, the calculation gives -0.343 eV/atom.

Below is a geometry-optimized Li2Si4IrPt3 structure, with properties calculated at the PBE level.

Cell and atoms, written as CIF:
```
data_Li2Si4IrPt3
_chemical_formula_sum 'Li2 Si4 Ir1 Pt3'
_cell_length_a 3.9795
_cell_length_b 3.9795
_cell_length_c 10.2617
_cell_angle_alpha 90.00
_cell_angle_beta 90.00
_cell_angle_gamma 90.00
_space_group_name_H-M_alt 'P -4 m 2'
_space_group_IT_number 115
_space_group_name_Hall 'P -4 -2'
loop_
_atom_site_label
_atom_site_type_symbol
_atom_site_fract_x
_atom_site_fract_y
_atom_site_fract_z
_atom_site_occupancy
Li1 Li 0.0000 0.5000 0.2441 1
Si1 Si 0.0000 0.0000 0.5000 1
Si2 Si 0.0000 0.5000 0.8663 1
Si3 Si 0.5000 0.5000 0.5000 1
Ir1 Ir 0.5000 0.5000 0.0000 1
Pt1 Pt 0.0000 0.0000 0.0000 1
Pt2 Pt 0.0000 0.5000 0.6351 1
```

The raw formation energy comes out at -0.692 eV/atom.

| no. | total DFT energy (no corrections) (eV/cell) |
| --- | --- |
| 1 | -13.8 |
| 2 | -44.3 |
| 3 | -55.9 |
| 4 | -23.4 |
| 5 | -51.5 |
| 6 | -38.6 |
| 7 | -36.8 |
| 8 | -59.4 |